Entry 1:
{
  "formula": "Cr11Ru4",
  "functional": "GGA-PBE",
  "state": "relaxed",
  "formation_enthalpy_0k_mev_per_atom": 61,
  "lattice_angstrom": [[8.9781, 0.0000, 0.0000], [0.0000, 8.9781, 0.0000], [0.0000, 0.0000, 4.6181]],
  "species": ["Cr", "Cr", "Cr", "Cr", "Cr", "Cr", "Cr", "Cr", "Cr", "Cr", "Cr", "Cr", "Cr", "Cr", "Cr", "Cr", "Cr", "Cr", "Cr", "Cr", "Cr", "Cr", "Ru", "Ru", "Ru", "Ru", "Ru", "Ru", "Ru", "Ru"],
  "fractional_positions": [[0.0000, 0.0000, 0.0000], [0.5000, 0.5000, 0.5000], [0.4075, 0.5925, 0.0000], [0.5925, 0.4075, 0.0000], [0.9075, 0.9075, 0.5000], [0.0925, 0.0925, 0.5000], [0.0607, 0.2517, 0.0000], [0.9393, 0.7483, 0.0000], [0.2483, 0.5607, 0.5000], [0.7517, 0.4393, 0.5000], [0.4393, 0.7517, 0.5000], [0.5607, 0.2483, 0.5000], [0.2517, 0.0607, 0.0000], [0.7483, 0.9393, 0.0000], [0.3129, 0.3129, 0.2469], [0.6871, 0.6871, 0.2469], [0.1871, 0.8129, 0.7469], [0.8129, 0.1871, 0.7469], [0.1871, 0.8129, 0.2531], [0.8129, 0.1871, 0.2531], [0.3129, 0.3129, 0.7531], [0.6871, 0.6871, 0.7531], [0.1426, 0.5341, 0.0000], [0.8574, 0.4659, 0.0000], [0.9659, 0.6426, 0.5000], [0.0341, 0.3574, 0.5000], [0.3574, 0.0341, 0.5000], [0.6426, 0.9659, 0.5000], [0.5341, 0.1426, 0.0000], [0.4659, 0.8574, 0.0000]]
}



Entry 2:
{
  "formula": "RbGa3Sb",
  "functional": "GGA-PBE",
  "state": "relaxed",
  "de_polymorph_ev_per_atom": 0.0000,
  "e_form_raw_ev_per_fu": 1.54,
  "lattice_angstrom": [[-5.2602, -1.8260, -0.4848], [1.7730, -4.2759, -3.1324], [0.6525, -3.1018, 4.6034]],
  "species": ["Sb", "Ga", "Ga", "Ga", "Rb"],
  "fractional_positions": [[0.0000, 0.0000, 0.0000], [0.0000, 0.5000, 0.0000], [0.0000, 0.0000, 0.5000], [0.5000, 0.0000, 0.0000], [0.5000, 0.5000, 0.5000]]
}



Entry 3:
{
  "formula": "TcNi2W",
  "functional": "GGA-PBE",
  "state": "relaxed",
  "de_polymorph_ev_per_atom": 0.1738,
  "formation_enthalpy_0k_mev_per_atom": 146,
  "lattice_angstrom": [[-3.8537, 0.6387, -1.6299], [-1.3519, -2.3769, -3.2308], [-3.0578, -2.8619, 0.6124]],
  "species": ["Ni", "Ni", "Tc", "W"],
  "fractional_positions": [[0.0000, 0.0000, 0.0000], [0.2500, 0.2500, 0.2500], [0.5000, 0.5000, 0.5000], [0.7500, 0.7500, 0.7500]]
}



Entry 4:
{
  "formula": "RbVSb",
  "functional": "GGA-PBE",
  "state": "relaxed",
  "de_polymorph_ev_per_atom": 0.0063,
  "e_form_raw_ev_per_fu": -0.17,
  "lattice_angstrom": [[-0.4105, 3.9678, 1.0348], [-2.6126, -1.0524, 2.9992], [9.5292, -1.1261, 7.7563]],
  "species": ["Sb", "Sb", "Rb", "Rb", "V", "V"],
  "fractional_positions": [[0.2531, 0.7540, 0.6426], [0.7469, 0.2460, 0.3574], [0.7566, 0.2584, 0.8094], [0.2434, 0.7416, 0.1906], [0.2498, 0.2502, 0.4999], [0.7501, 0.7498, 0.5001]]
}



Entry 5:
{
  "formula": "LaTbPb",
  "functional": "GGA-PBE",
  "state": "relaxed",
  "de_polymorph_ev_per_atom": 0.4108,
  "formation_enthalpy_0k_mev_per_atom": -49,
  "lattice_angstrom": [[6.3698, 1.5466, 1.1713], [3.8038, 5.3383, 1.1713], [3.8038, 2.5742, 4.8211]],
  "species": ["Pb", "La", "Tb"],
  "fractional_positions": [[0.2516, 0.2516, 0.2516], [0.0277, 0.0277, 0.0277], [0.8340, 0.8340, 0.8340]]
}



Entry 6:
{
  "formula": "HfTi2H",
  "functional": "GGA-PBE",
  "state": "relaxed",
  "de_polymorph_ev_per_atom": 0.0000,
  "lattice_angstrom": [[-2.4574, -1.4737, -0.7169], [1.2395, 0.1541, -4.5649], [4.0767, -7.2177, 0.8633]],
  "species": ["Hf", "Hf", "Ti", "Ti", "Ti", "Ti", "H", "H"],
  "fractional_positions": [[0.0001, 0.7499, 0.2500], [0.9999, 0.2501, 0.7500], [0.4994, 0.7499, 0.5787], [0.5006, 0.2501, 0.4213], [0.4994, 0.7499, 0.9213], [0.5006, 0.2501, 0.0787], [0.9994, 0.7471, 0.7500], [0.0006, 0.2529, 0.2500]]
}



- Which formula does entry 6 have?
  HfTi2H